TiFeN2F after structural relaxation. Source: Alexandria, functional PBE with a Hubbard U.

Output
- total moment (μB/cell) = 3.44
- polymorph energy (0 for the lowest one) (meV per atom) = 543

Geometry as CIF:
```
data_TiFeN2F
_symmetry_space_group_name_H-M 'P 4/m m m'
_symmetry_Int_Tables_number 123
_symmetry_space_group_name_Hall '-P 4 2'
_cell_length_a 3.846
_cell_length_b 3.846
_cell_length_c 3.723
_cell_angle_alpha 90.00
_cell_angle_beta 90.00
_cell_angle_gamma 90.00
loop_
_atom_site_label
_atom_site_type_symbol
_atom_site_fract_x
_atom_site_fract_y
_atom_site_fract_z
Ti1 Ti 0.000 0.000 0.000
Fe1 Fe 0.500 0.500 0.500
N1 N 0.000 0.500 0.500
F1 F 0.500 0.500 0.000
```